DFT (meta-GGA SCAN) results for a crystal of BeCu relaxed with PBEsol.

Results
ΔE_f, meV/atom: -160
E, eV for the cell shown: -39.7
Calculated density, Mg/m³: 6.34

Cell: 4.281 4.281 3.859 Å, 108.48 108.48 34.73°
Fractional coordinates of all 4 atoms:
Be  0.133  0.133  0.341
Be  0.867  0.867  0.659
Cu  0.387  0.387  0.173
Cu  0.613  0.613  0.827